Ba2CaIr, PBEsol geometry, DFT meta-GGA SCAN; DFT formation energy = -0.641 eV/f.u.; crystal system = monoclinic; space group = Cm, No. 8; N(E_F) = 1.88 states/eV/f.u.
1.0
-1.414 3.768 -0.247
-3.819 -3.690 -1.525
-0.080 0.509 8.215
Ca Ir Ba
1 1 2
Direct
0.436 0.873 0.376
0.723 0.447 0.375
0.094 0.187 0.088
0.247 0.494 0.661